Material: MoWN2F
Method: DFT, PBE+U
State: optimized geometry

It has space group P4/mmm (No. 123), with a = 4.078 Å, b = 4.078 Å, c = 4.114 Å, α = 90.00°, β = 90.00° and γ = 90.00°. The asymmetric unit holds Mo at (0.000, 0.000, 0.000), W at (0.500, 0.500, 0.500), N at (0.000, 0.500, 0.500) and F at (0.500, 0.500, 0.000).

The value obtained for the size of the total moment is 1.00 μB per atom. The density of states at the Fermi level comes out at 0.80 states/eV/f.u. Its energy above the lowest structure with this stoichiometry is 0.000 eV per atom. For the uncorrected energy, the calculation gives -32.5 eV per formula unit.